First-principles (PBE) data for a relaxed structure of IrIOF2, as listed in the Alexandria database.

```
IrIOF2
1.0
-3.777 -0.865 -2.967
1.706 -4.490 -0.863
-2.092 -1.385 3.067
F I Ir O
2 1 1 1
direct
0.000 0.500 0.000
0.500 0.000 0.000
0.000 0.000 0.000
0.500 0.500 0.500
0.000 0.000 0.500
```

Values from the calculation:
Excess energy over the best structure of this formula in the dataset, eV/atom: 1.014
DOS(E_F), states/eV per cell: 6.8
SG: P4/mmm (123)
Uncorrected formation energy, meV/atom: 706
Density, Mg/m³: 6.56